#P
Entry from Alexandria: a geometry-optimized Pb4Cl structure (GGA-PBE).

Summary:
ρ: 8.4 g/cm3

Cell lengths 7.002, 7.002, 7.002 Å; angles 90.00, 90.00, 90.00 degrees
Space group Im-3m (No. 229)
Unique sites:
Pb 0.250 0.250 0.250 x8
Cl 0.000 0.000 0.000 x2

#Q
Entry from Alexandria: a geometry-optimized Pb4Cl structure (GGA-PBE).

Summary:
ρ: 8.1 g/cm3

Cell lengths 5.607, 5.607, 5.607 Å; angles 90.00, 90.00, 90.00 degrees
Space group Pm-3m (No. 221)
Unique sites:
Pb 0.000 0.000 0.000 x1
Pb 0.000 0.500 0.500 x3
Cl 0.500 0.500 0.500 x1

Most stable: #P